1.
DFT (PBE-GGA) results for a relaxed structure of TaNbO.

Properties
Calculated density   11.6 g cm⁻³
DFT total energy   -9.982 eV/atom
Crystal system   trigonal
DOS(E_F)   0.370 states/eV per atom

Unit cell a=5.676 b=2.909 c=2.909 alpha=120.00 beta=90.00 gamma=90.00
Sites, in units of the cell vectors:
1 Nb 0.613 0.333 0.667
2 O 0.324 0.667 0.333
3 Ta 0.063 0.000 0.000


2.
DFT (PBE-GGA) results for a relaxed structure of TaNbO4.

Properties
Calculated density   7.7 g cm⁻³
DFT total energy   -9.470 eV/atom
Crystal system   orthorhombic
DOS(E_F)   0.417 states/eV per atom

Unit cell a=2.930 b=4.991 c=4.991 alpha=89.94 beta=90.00 gamma=90.00
Sites, in units of the cell vectors:
1 Nb 0.500 0.000 0.000
2 Ta 0.000 0.500 0.500
3 O 0.500 0.295 0.705
4 O 0.500 0.705 0.295
5 O 0.000 0.215 0.215
6 O 0.000 0.785 0.785


3.
DFT (PBE-GGA) results for a relaxed structure of Ta2Nb2O7.

Properties
Calculated density   7.7 g cm⁻³
DFT total energy   -9.338 eV/atom
Crystal system   monoclinic
DOS(E_F)   0.272 states/eV per atom

Unit cell a=5.295 b=5.433 c=9.911 alpha=90.00 beta=90.00 gamma=83.15
Sites, in units of the cell vectors:
1 O 0.629 0.867 0.654
2 O 0.697 0.388 0.528
3 O 0.303 0.112 0.028
4 O 0.303 0.612 0.472
5 O 0.697 0.888 0.972
6 O 0.371 0.133 0.346
7 O 0.000 0.500 0.000
8 O 0.629 0.367 0.846
9 O 0.000 0.000 0.500
10 O 0.179 0.841 0.772
11 O 0.821 0.659 0.272
12 O 0.371 0.633 0.154
13 O 0.821 0.159 0.228
14 O 0.179 0.341 0.728
15 Ta 0.462 0.055 0.833
16 Ta 0.538 0.945 0.167
17 Ta 0.538 0.445 0.333
18 Ta 0.462 0.555 0.667
19 Nb 0.127 0.356 0.165
20 Nb 0.873 0.144 0.665
21 Nb 0.873 0.644 0.835
22 Nb 0.127 0.856 0.335


4.
DFT (PBE-GGA) results for a relaxed structure of TaNbO2.

Properties
Calculated density   9.7 g cm⁻³
DFT total energy   -9.367 eV/atom
Crystal system   tetragonal
DOS(E_F)   0.983 states/eV per atom

Unit cell a=4.065 b=4.065 c=6.950 alpha=72.99 beta=72.99 gamma=90.00
Sites, in units of the cell vectors:
1 O 0.640 0.125 0.250
2 O 0.375 0.360 0.750
3 O 0.110 0.625 0.250
4 O 0.875 0.890 0.750
5 Nb 0.500 0.500 0.000
6 Nb 0.250 0.750 0.500
7 Ta 0.750 0.250 0.500
8 Ta 0.000 0.000 0.000


5.
DFT (PBE-GGA) results for a relaxed structure of Ta4NbO12.

Properties
Calculated density   7.5 g cm⁻³
DFT total energy   -9.531 eV/atom
Crystal system   tetragonal
DOS(E_F)   0.089 states/eV per atom

Unit cell a=6.629 b=6.629 c=6.629 alpha=111.95 beta=108.26 gamma=108.23
Sites, in units of the cell vectors:
1 Ta 0.500 0.500 0.500
2 Ta 0.000 0.500 0.000
3 Ta 0.500 0.000 0.000
4 Ta 0.000 0.000 0.500
5 O 0.893 0.697 0.196
6 O 0.735 0.178 0.913
7 O 0.499 0.303 0.196
8 O 0.501 0.697 0.804
9 O 0.265 0.178 0.443
10 O 0.736 0.058 0.322
11 O 0.735 0.822 0.557
12 O 0.264 0.586 0.322
13 O 0.736 0.414 0.678
14 O 0.107 0.303 0.804
15 O 0.264 0.942 0.678
16 O 0.265 0.822 0.087
17 Nb 0.500 0.000 0.500


6.
DFT (PBE-GGA) results for a relaxed structure of Ta3NbO.

Properties
Calculated density   13.6 g cm⁻³
DFT total energy   -10.658 eV/atom
Crystal system   cubic
DOS(E_F)   1.339 states/eV per atom

Unit cell a=4.301 b=4.301 c=4.301 alpha=90.00 beta=90.00 gamma=90.00
Sites, in units of the cell vectors:
1 Ta 0.500 0.000 0.000
2 Ta 0.000 0.500 0.000
3 Ta 0.000 0.000 0.500
4 O 0.000 0.000 0.000
5 Nb 0.500 0.500 0.500


7.
DFT (PBE-GGA) results for a relaxed structure of TaNbO2.

Properties
Calculated density   10.0 g cm⁻³
DFT total energy   -9.520 eV/atom
Crystal system   trigonal
DOS(E_F)   0.801 states/eV per atom

Unit cell a=7.090 b=7.090 c=7.090 alpha=23.76 beta=23.76 gamma=23.76
Sites, in units of the cell vectors:
1 O 0.902 0.902 0.902
2 O 0.098 0.098 0.098
3 Ta 0.000 0.000 0.000
4 Nb 0.500 0.500 0.500


8.
DFT (PBE-GGA) results for a relaxed structure of TaNb2O6.

Properties
Calculated density   7.0 g cm⁻³
DFT total energy   -9.375 eV/atom
Crystal system   tetragonal
DOS(E_F)   0.304 states/eV per atom

Unit cell a=4.984 b=4.984 c=8.895 alpha=90.00 beta=90.00 gamma=90.00
Sites, in units of the cell vectors:
1 O 0.202 0.798 0.663
2 O 0.780 0.220 0.000
3 O 0.202 0.798 0.337
4 O 0.298 0.298 0.837
5 O 0.702 0.702 0.163
6 O 0.798 0.202 0.663
7 O 0.798 0.202 0.337
8 O 0.280 0.280 0.500
9 O 0.702 0.702 0.837
10 O 0.298 0.298 0.163
11 O 0.220 0.780 0.000
12 O 0.720 0.720 0.500
13 Nb 0.000 0.000 0.152
14 Nb 0.500 0.500 0.652
15 Nb 0.000 0.000 0.848
16 Nb 0.500 0.500 0.348
17 Ta 0.000 0.000 0.500
18 Ta 0.500 0.500 0.000


9.
DFT (PBE-GGA) results for a relaxed structure of TaNb2O.

Properties
Calculated density   9.4 g cm⁻³
DFT total energy   -9.517 eV/atom
Crystal system   tetragonal
DOS(E_F)   1.098 states/eV per atom

Unit cell a=6.316 b=6.316 c=5.616 alpha=55.78 beta=55.78 gamma=90.00
Sites, in units of the cell vectors:
1 O 0.250 0.750 0.500
2 O 0.500 0.500 0.000
3 Ta 0.000 0.000 0.000
4 Ta 0.750 0.250 0.500
5 Nb 0.533 0.125 0.250
6 Nb 0.375 0.467 0.750
7 Nb 0.217 0.625 0.250
8 Nb 0.875 0.783 0.750


10.
DFT (PBE-GGA) results for a relaxed structure of Ta2NbO6.

Properties
Calculated density   7.6 g cm⁻³
DFT total energy   -9.459 eV/atom
Crystal system   monoclinic
DOS(E_F)   0.379 states/eV per atom

Unit cell a=3.782 b=5.415 c=6.787 alpha=69.50 beta=73.82 gamma=69.56
Sites, in units of the cell vectors:
1 O 0.693 0.672 0.942
2 O 0.644 0.323 0.388
3 O 0.021 0.163 0.796
4 O 0.356 0.677 0.612
5 O 0.979 0.837 0.204
6 O 0.307 0.328 0.058
7 Ta 0.822 0.228 0.129
8 Ta 0.178 0.772 0.871
9 Nb 0.000 0.500 0.500


11.
DFT (PBE-GGA) results for a relaxed structure of Ta3NbTl2O12.

Properties
Calculated density   6.8 g cm⁻³
DFT total energy   -8.314 eV/atom
Crystal system   trigonal
DOS(E_F)   0.661 states/eV per atom

Unit cell a=7.531 b=7.531 c=7.531 alpha=59.86 beta=59.86 gamma=59.86
Sites, in units of the cell vectors:
1 O 0.685 0.063 0.063
2 O 0.058 0.689 0.689
3 O 0.937 0.315 0.937
4 O 0.311 0.942 0.311
5 O 0.942 0.311 0.311
6 O 0.937 0.937 0.315
7 O 0.689 0.689 0.058
8 O 0.311 0.311 0.942
9 O 0.063 0.685 0.063
10 O 0.315 0.937 0.937
11 O 0.063 0.063 0.685
12 O 0.689 0.058 0.689
13 Tl 0.659 0.659 0.659
14 Tl 0.341 0.341 0.341
15 Ta 0.000 0.000 0.500
16 Ta 0.000 0.500 0.000
17 Ta 0.500 0.000 0.000
18 Nb 0.000 0.000 0.000


12.
DFT (PBE-GGA) results for a relaxed structure of TaNb2TlO8.

Properties
Calculated density   5.0 g cm⁻³
DFT total energy   -8.564 eV/atom
Crystal system   trigonal
DOS(E_F)   0.000 states/eV per atom

Unit cell a=5.926 b=5.926 c=7.625 alpha=90.00 beta=90.00 gamma=120.00
Sites, in units of the cell vectors:
1 O 0.333 0.667 0.534
2 O 0.843 0.687 0.154
3 O 0.157 0.313 0.846
4 O 0.667 0.333 0.466
5 O 0.843 0.157 0.154
6 O 0.157 0.843 0.846
7 O 0.313 0.157 0.154
8 O 0.687 0.843 0.846
9 Tl 0.000 0.000 0.500
10 Nb 0.333 0.667 0.767
11 Nb 0.667 0.333 0.233
12 Ta 0.000 0.000 0.000


Q: DFT total energy of number 3 (Ta2Nb2O7)?
A: -9.338 eV/atom


Q: What is the formula in the eleventh record?
A: Ta3NbTl2O12


Q: Look up the calculated density of the eleventh one.
A: 6.8 g cm⁻³


Q: What is the formula in the fourth record?
A: TaNbO2